Compound: NaMnAu2
Source: Alexandria via LeMat-Bulk
Functional: PBE
Structure: optimized geometry

Results
* energy of formation: 0.314 eV per atom
* E above lowest polymorph: 42.6 kJ per mole of atoms

Cell: 9.892 9.892 9.892 Å, 155.85 155.85 34.42°
Positions (direct):
Na  0.000  0.000  0.000
Na  0.750  0.250  0.500
Mn  0.250  0.750  0.500
Mn  0.500  0.500  0.000
Au  0.136  0.625  0.011
Au  0.375  0.386  0.511
Au  0.614  0.125  0.989
Au  0.875  0.864  0.489

***

Compound: NaMnAu2
Source: Alexandria via LeMat-Bulk
Functional: PBE
Structure: optimized geometry

Results
* energy of formation: -0.128 eV per atom
* E above lowest polymorph: 0.0 kJ per mole of atoms

Cell: 3.159 3.159 7.660 Å, 90.00 90.00 90.00°
Positions (direct):
Na  0.000  0.000  0.000
Mn  0.000  0.000  0.500
Au  0.500  0.500  0.289
Au  0.500  0.500  0.711

***

Compound: NaMn2Au2
Source: Alexandria via LeMat-Bulk
Functional: PBE
Structure: optimized geometry

Results
* energy of formation: 0.016 eV per atom
* E above lowest polymorph: 0.0 kJ per mole of atoms

Cell: 8.027 8.027 2.876 Å, 90.00 90.00 90.00°
Positions (direct):
Na  0.000  0.000  0.000
Na  0.500  0.500  0.000
Mn  0.124  0.376  0.000
Mn  0.376  0.876  0.000
Mn  0.624  0.124  0.000
Mn  0.876  0.624  0.000
Au  0.172  0.672  0.500
Au  0.328  0.172  0.500
Au  0.672  0.828  0.500
Au  0.828  0.328  0.500

***

Compound: NaMn2Au2
Source: Alexandria via LeMat-Bulk
Functional: PBE
Structure: optimized geometry

Results
* energy of formation: 0.399 eV per atom
* E above lowest polymorph: 36.9 kJ per mole of atoms

Cell: 8.947 8.947 8.947 Å, 159.76 159.76 28.78°
Positions (direct):
Na  0.000  0.000  0.000
Mn  0.250  0.750  0.500
Mn  0.750  0.250  0.500
Au  0.379  0.379  0.000
Au  0.621  0.621  0.000

***

Please write out number 1 again, unchanged.
Compound: NaMnAu2
Source: Alexandria via LeMat-Bulk
Functional: PBE
Structure: optimized geometry

Results
* energy of formation: 0.314 eV per atom
* E above lowest polymorph: 42.6 kJ per mole of atoms

Cell: 9.892 9.892 9.892 Å, 155.85 155.85 34.42°
Positions (direct):
Na  0.000  0.000  0.000
Na  0.750  0.250  0.500
Mn  0.250  0.750  0.500
Mn  0.500  0.500  0.000
Au  0.136  0.625  0.011
Au  0.375  0.386  0.511
Au  0.614  0.125  0.989
Au  0.875  0.864  0.489

***

- Look up the energy of formation of the first one.
  0.314 eV per atom

***

- The lowest energy of formation belongs to which entry?
  number 2